# 1
First-principles (PBE) data for a relaxed YAl3Au3 crystal, as listed in Alexandria via LeMat-Bulk.

Output
The value obtained for the energy above the most stable polymorph in this dataset is 148 meV/atom. For the total energy, the calculation gives -4.385 eV/atom. The value obtained for the formation energy is -453 meV per atom. The value obtained for the density of states at the Fermi level is 3.9 states/eV/cell.

```
data_YAl3Au3
_space_group_name_H-M_alt 'P 1'
_space_group_IT_number 1
_cell_length_a 6.9869
_cell_length_b 6.9869
_cell_length_c 6.9869
_cell_angle_alpha 71.15
_cell_angle_beta 71.15
_cell_angle_gamma 71.15
loop_
_space_group_symop_operation_xyz
'x,y,z'
loop_
_atom_site_label
_atom_site_type_symbol
_atom_site_fract_x
_atom_site_fract_y
_atom_site_fract_z
Y1 Y 0.1759 0.1759 0.1759
Y2 Y 0.8241 0.8241 0.8241
Al1 Al 0.0713 0.6981 0.3783
Al2 Al 0.3019 0.6217 0.9287
Al3 Al 0.3783 0.0713 0.6981
Al4 Al 0.6217 0.9287 0.3019
Al5 Al 0.6981 0.3783 0.0713
Al6 Al 0.9287 0.3019 0.6217
Au1 Au 0.1424 0.4349 0.7496
Au2 Au 0.2504 0.8576 0.5651
Au3 Au 0.4349 0.7496 0.1424
Au4 Au 0.5651 0.2504 0.8576
Au5 Au 0.7496 0.1424 0.4349
Au6 Au 0.8576 0.5651 0.2504
```

# 2
First-principles (PBE) data for a relaxed KTl2S2 crystal, as listed in Alexandria via LeMat-Bulk.

Output
The calculation puts the raw formation energy at -549.9 meV/atom. The value obtained for the energy above the most stable polymorph in this dataset is 0 meV/atom. For the total energy, the calculation gives -3.367 eV/atom. The value obtained for the density of states at the Fermi level is 5.5 states/eV/cell.

```
data_KTl2S2
_space_group_name_H-M_alt 'P 1'
_space_group_IT_number 1
_cell_length_a 4.1575
_cell_length_b 4.1575
_cell_length_c 28.8925
_cell_angle_alpha 90.00
_cell_angle_beta 90.00
_cell_angle_gamma 120.00
loop_
_space_group_symop_operation_xyz
'x,y,z'
loop_
_atom_site_label
_atom_site_type_symbol
_atom_site_fract_x
_atom_site_fract_y
_atom_site_fract_z
K1 K 0.0000 0.0000 0.0000
K2 K 0.3333 0.6667 0.6667
K3 K 0.6667 0.3333 0.3333
Tl1 Tl 0.0000 0.0000 0.2094
Tl2 Tl 0.0000 0.0000 0.7906
Tl3 Tl 0.3333 0.6667 0.4573
Tl4 Tl 0.3333 0.6667 0.8761
Tl5 Tl 0.6667 0.3333 0.1239
Tl6 Tl 0.6667 0.3333 0.5427
S1 S 0.0000 0.0000 0.4074
S2 S 0.0000 0.0000 0.5926
S3 S 0.3333 0.6667 0.0741
S4 S 0.3333 0.6667 0.2592
S5 S 0.6667 0.3333 0.7408
S6 S 0.6667 0.3333 0.9259
```

# 3
First-principles (PBE) data for a relaxed CoGe2Au crystal, as listed in Alexandria via LeMat-Bulk.

Output
The value obtained for the energy above the most stable polymorph in this dataset is 162 meV/atom. For the total energy, the calculation gives -4.770 eV/atom. The value obtained for the formation energy is 134 meV per atom. The value obtained for the density of states at the Fermi level is 8.3 states/eV/cell.

```
data_CoGe2Au
_space_group_name_H-M_alt 'P 1'
_space_group_IT_number 1
_cell_length_a 3.5612
_cell_length_b 3.5612
_cell_length_c 18.4663
_cell_angle_alpha 90.00
_cell_angle_beta 90.00
_cell_angle_gamma 120.00
loop_
_space_group_symop_operation_xyz
'x,y,z'
loop_
_atom_site_label
_atom_site_type_symbol
_atom_site_fract_x
_atom_site_fract_y
_atom_site_fract_z
Co1 Co 0.0000 0.0000 0.0000
Co2 Co 0.3333 0.6667 0.6667
Co3 Co 0.6667 0.3333 0.3333
Ge1 Ge 0.0000 0.0000 0.3913
Ge2 Ge 0.0000 0.0000 0.5892
Ge3 Ge 0.3333 0.6667 0.0580
Ge4 Ge 0.3333 0.6667 0.2558
Ge5 Ge 0.6667 0.3333 0.7246
Ge6 Ge 0.6667 0.3333 0.9225
Au1 Au 0.0000 0.0000 0.1553
Au2 Au 0.3333 0.6667 0.8220
Au3 Au 0.6667 0.3333 0.4887
```

# 4
First-principles (PBE) data for a relaxed Zr2TaCl crystal, as listed in Alexandria via LeMat-Bulk.

Output
The calculation puts the raw formation energy at 96.1 meV/atom. The value obtained for the energy above the most stable polymorph in this dataset is 511 meV/atom. For the total energy, the calculation gives -7.603 eV/atom. The value obtained for the density of states at the Fermi level is 8.8 states/eV/cell.

```
data_Zr2TaCl
_space_group_name_H-M_alt 'P 1'
_space_group_IT_number 1
_cell_length_a 6.6037
_cell_length_b 7.9111
_cell_length_c 3.1197
_cell_angle_alpha 90.00
_cell_angle_beta 90.00
_cell_angle_gamma 90.00
loop_
_space_group_symop_operation_xyz
'x,y,z'
loop_
_atom_site_label
_atom_site_type_symbol
_atom_site_fract_x
_atom_site_fract_y
_atom_site_fract_z
Zr1 Zr 0.2500 0.2500 0.0000
Zr2 Zr 0.2500 0.7500 0.0000
Zr3 Zr 0.7500 0.2500 0.0000
Zr4 Zr 0.7500 0.7500 0.0000
Ta1 Ta 0.0000 0.0000 0.5000
Ta2 Ta 0.5000 0.5000 0.5000
Cl1 Cl 0.0000 0.5000 0.5000
Cl2 Cl 0.5000 0.0000 0.5000
```

# 5
First-principles (PBE) data for a relaxed NbAl5Ni4 crystal, as listed in Alexandria via LeMat-Bulk.

Output
For the total energy, the calculation gives -5.788 eV/atom. The value obtained for the formation energy is -597 meV per atom. The value obtained for the density of states at the Fermi level is 5.0 states/eV/cell.

```
data_NbAl5Ni4
_space_group_name_H-M_alt 'P 1'
_space_group_IT_number 1
_cell_length_a 2.8943
_cell_length_b 2.8943
_cell_length_c 15.5427
_cell_angle_alpha 90.00
_cell_angle_beta 90.00
_cell_angle_gamma 90.00
loop_
_space_group_symop_operation_xyz
'x,y,z'
loop_
_atom_site_label
_atom_site_type_symbol
_atom_site_fract_x
_atom_site_fract_y
_atom_site_fract_z
Nb1 Nb 0.0000 0.0000 0.0000
Al1 Al 0.5000 0.5000 0.1308
Al2 Al 0.5000 0.5000 0.3148
Al3 Al 0.5000 0.5000 0.5000
Al4 Al 0.5000 0.5000 0.6852
Al5 Al 0.5000 0.5000 0.8692
Ni1 Ni 0.0000 0.0000 0.2217
Ni2 Ni 0.0000 0.0000 0.4080
Ni3 Ni 0.0000 0.0000 0.5920
Ni4 Ni 0.0000 0.0000 0.7783
```

# 6
First-principles (PBE) data for a relaxed CeSbPb crystal, as listed in Alexandria via LeMat-Bulk.

Output
The calculation puts the raw formation energy at -306.7 meV/atom. The value obtained for the energy above the most stable polymorph in this dataset is 287 meV/atom. For the total energy, the calculation gives -4.895 eV/atom. The value obtained for the density of states at the Fermi level is 8.0 states/eV/cell.

```
data_CeSbPb
_space_group_name_H-M_alt 'P 1'
_space_group_IT_number 1
_cell_length_a 5.3270
_cell_length_b 5.3270
_cell_length_c 3.6610
_cell_angle_alpha 90.00
_cell_angle_beta 90.00
_cell_angle_gamma 120.00
loop_
_space_group_symop_operation_xyz
'x,y,z'
loop_
_atom_site_label
_atom_site_type_symbol
_atom_site_fract_x
_atom_site_fract_y
_atom_site_fract_z
Ce1 Ce 0.0000 0.0000 0.0000
Sb1 Sb 0.6667 0.3333 0.5543
Pb1 Pb 0.3333 0.6667 0.4753
```

# 7
First-principles (PBE) data for a relaxed Ag5Au3 crystal, as listed in Alexandria via LeMat-Bulk.

Output
The value obtained for the energy above the most stable polymorph in this dataset is 0 meV/atom. For the total energy, the calculation gives -3.045 eV/atom. The value obtained for the formation energy is -34 meV per atom. The value obtained for the density of states at the Fermi level is 3.8 states/eV/cell.

```
data_Ag5Au3
_space_group_name_H-M_alt 'P 1'
_space_group_IT_number 1
_cell_length_a 4.2018
_cell_length_b 4.2018
_cell_length_c 16.2512
_cell_angle_alpha 90.00
_cell_angle_beta 90.00
_cell_angle_gamma 90.00
loop_
_space_group_symop_operation_xyz
'x,y,z'
loop_
_atom_site_label
_atom_site_type_symbol
_atom_site_fract_x
_atom_site_fract_y
_atom_site_fract_z
Ag1 Ag 0.0000 0.0000 0.0000
Ag2 Ag 0.0000 0.0000 0.2500
Ag3 Ag 0.0000 0.0000 0.7500
Ag4 Ag 0.0000 0.5000 0.1250
Ag5 Ag 0.0000 0.5000 0.3750
Ag6 Ag 0.5000 0.0000 0.6250
Ag7 Ag 0.5000 0.0000 0.8750
Ag8 Ag 0.5000 0.5000 0.2500
Ag9 Ag 0.5000 0.5000 0.5000
Ag10 Ag 0.5000 0.5000 0.7500
Au1 Au 0.0000 0.0000 0.5000
Au2 Au 0.0000 0.5000 0.6253
Au3 Au 0.0000 0.5000 0.8747
Au4 Au 0.5000 0.0000 0.1253
Au5 Au 0.5000 0.0000 0.3747
Au6 Au 0.5000 0.5000 0.0000
```

# 8
First-principles (PBE) data for a relaxed CeTmAg crystal, as listed in Alexandria via LeMat-Bulk.

Output
The value obtained for the energy above the most stable polymorph in this dataset is 186 meV/atom. For the total energy, the calculation gives -4.354 eV/atom. The value obtained for the formation energy is 65 meV per atom. The value obtained for the density of states at the Fermi level is 6.8 states/eV/cell.

```
data_CeTmAg
_space_group_name_H-M_alt 'P 1'
_space_group_IT_number 1
_cell_length_a 5.0942
_cell_length_b 5.0942
_cell_length_c 3.4910
_cell_angle_alpha 90.00
_cell_angle_beta 90.00
_cell_angle_gamma 120.00
loop_
_space_group_symop_operation_xyz
'x,y,z'
loop_
_atom_site_label
_atom_site_type_symbol
_atom_site_fract_x
_atom_site_fract_y
_atom_site_fract_z
Ce1 Ce 0.0000 0.0000 0.0000
Tm1 Tm 0.6667 0.3333 0.4371
Ag1 Ag 0.3333 0.6667 0.6313
```